TbTlAgPd: optimized geometry, PBE-GGA.

Results
ΔE_f = -0.413 eV/atom
D(E_F) = 14.26 states/eV per cell

Unit cell a=6.974 b=6.974 c=6.974 alpha=90.00 beta=90.00 gamma=90.00
Space group F-43m (No. 216)
One atom of each set of equivalent atoms:
Tb (0.000, 0.000, 0.000)
Tl (0.000, 0.000, 0.500)
Ag (0.250, 0.250, 0.250)
Pd (0.250, 0.250, 0.750)

BeAlW2: optimized geometry, PBE-GGA.

Results
ΔE_f = 0.334 eV/atom
D(E_F) = 7.80 states/eV per cell

Unit cell a=2.7777 b=2.7777 c=26.5176 alpha=90.00 beta=90.00 gamma=120.00
Space group R3m (No. 160, hexagonal axes)
One atom of each set of equivalent atoms:
Be (0.0000, 0.0000, 0.0000)
Al (0.0000, 0.0000, 0.2572)
W (0.0000, 0.0000, 0.5028)
W (0.0000, 0.0000, 0.7435)

Na2MgTlF: optimized geometry, PBE-GGA.

Results
ΔE_f (raw) = -985 meV/atom
D(E_F) = 1.40 states/eV per cell

Unit cell a=4.859 b=4.859 c=4.472 alpha=90.00 beta=90.00 gamma=90.00
Space group P4/mmm (No. 123)
One atom of each set of equivalent atoms:
Na (0.000, 0.500, 0.000)
Mg (0.000, 0.000, 0.500)
Tl (0.500, 0.500, 0.500)
F (0.000, 0.000, 0.000)